# SCAN Cs2HgPd, PBEsol geometry
# DFT formation energy (eV per atom): -0.1217
# Total magnetization (μB/atom): 0.00
# Total energy (eV/cell): -708.19
# Fermi-level density of states (states/eV per cell): 5.68
data_Cs2HgPd
_cell_length_a 12.1744
_cell_length_b 12.1744
_cell_length_c 5.2723
_cell_angle_alpha 90.00
_cell_angle_beta 90.00
_cell_angle_gamma 90.00
_symmetry_space_group_name_H-M 'I -4 2 d'
_symmetry_Int_Tables_number 122
_symmetry_space_group_name_Hall 'I -4 2bw'
loop_
_atom_site_label
_atom_site_type_symbol
_atom_site_fract_x
_atom_site_fract_y
_atom_site_fract_z
_atom_site_occupancy
Cs1 Cs 0.0881 0.7500 0.1250 1
Hg1 Hg 0.0000 0.0000 0.5000 1
Pd1 Pd 0.0000 0.0000 0.0000 1